# K3Pu2VO9

Crystalline K3Pu2VO9 at its relaxed geometry (PBE+U, the Alexandria database).

Properties
The calculation puts the density of states at the Fermi level at 6.8 states/eV/f.u. The calculation puts the size of the total moment at 6.00 μB/f.u.

The structure in POSCAR format:
```
K3Pu2VO9
1.0
5.842 0.000 0.000
-2.921 5.059 0.000
0.000 0.000 7.163
K Pu V O
3 2 1 9
direct
0.000 0.000 0.000 K
0.333 0.667 0.664 K
0.667 0.333 0.336 K
0.333 0.667 0.180 Pu
0.667 0.333 0.820 Pu
0.000 0.000 0.500 V
0.000 0.500 0.000 O
0.161 0.322 0.342 O
0.161 0.839 0.342 O
0.322 0.161 0.658 O
0.500 0.000 0.000 O
0.500 0.500 0.000 O
0.678 0.839 0.342 O
0.839 0.161 0.658 O
0.839 0.678 0.658 O
```

=====

# KPuVO5

Crystalline KPuVO5 at its relaxed geometry (PBE+U, the Alexandria database).

Properties
The calculation puts the density of states at the Fermi level at 5.0 states/eV/f.u. The calculation puts the size of the total moment at 4.00 μB/f.u.

The structure in POSCAR format:
```
KPuVO5
1.0
3.764 -4.950 0.000
3.764 4.950 0.000
-3.245 0.000 7.235
K Pu V O
2 2 2 10
direct
0.167 0.833 0.750 K
0.833 0.167 0.250 K
0.500 0.500 0.000 Pu
0.500 0.500 0.500 Pu
0.184 0.816 0.250 V
0.816 0.184 0.750 V
0.107 0.262 0.894 O
0.200 0.626 0.382 O
0.262 0.107 0.394 O
0.374 0.800 0.118 O
0.435 0.565 0.750 O
0.565 0.435 0.250 O
0.626 0.200 0.882 O
0.738 0.893 0.606 O
0.800 0.374 0.618 O
0.893 0.738 0.106 O
```

=====

# K2PuVO6

Crystalline K2PuVO6 at its relaxed geometry (PBE+U, the Alexandria database).

Properties
The calculation puts the density of states at the Fermi level at 6.2 states/eV/f.u. The calculation puts the size of the total moment at 3.00 μB/f.u.

The structure in POSCAR format:
```
K2PuVO6
1.0
5.677 0.000 0.000
0.000 5.677 0.000
0.000 0.000 4.349
K Pu V O
2 1 1 6
direct
0.000 0.500 0.000 K
0.500 0.000 0.000 K
0.000 0.000 0.517 Pu
0.500 0.500 0.447 V
0.000 0.000 0.019 O
0.265 0.265 0.522 O
0.265 0.735 0.522 O
0.500 0.500 0.062 O
0.735 0.265 0.522 O
0.735 0.735 0.522 O
```

=====

# KPu2WO8

Crystalline KPu2WO8 at its relaxed geometry (PBE+U, the Alexandria database).

Properties
The calculation puts the density of states at the Fermi level at 7.8 states/eV/f.u. The calculation puts the size of the total moment at 7.00 μB/f.u.

The structure in POSCAR format:
```
KPu2WO8
1.0
5.046 0.000 0.000
0.000 6.983 0.000
-0.120 0.000 5.056
K Pu W O
1 2 1 8
direct
0.000 0.000 0.000 K
0.500 0.252 0.500 Pu
0.500 0.748 0.500 Pu
0.000 0.500 0.000 W
0.195 0.306 0.193 O
0.195 0.694 0.193 O
0.284 0.500 0.714 O
0.334 0.000 0.662 O
0.666 0.000 0.338 O
0.716 0.500 0.286 O
0.805 0.306 0.807 O
0.805 0.694 0.807 O
```

=====

# K2PuWO6

Crystalline K2PuWO6 at its relaxed geometry (PBE+U, the Alexandria database).

Properties
The calculation puts the density of states at the Fermi level at 3.0 states/eV/f.u. The calculation puts the size of the total moment at 4.00 μB/f.u.

The structure in POSCAR format:
```
K2PuWO6
1.0
0.000 4.183 4.183
4.183 0.000 4.183
4.183 4.183 0.000
K Pu W O
2 1 1 6
direct
0.250 0.250 0.250 K
0.750 0.750 0.750 K
0.000 0.000 0.000 Pu
0.500 0.500 0.500 W
0.265 0.265 0.735 O
0.265 0.735 0.265 O
0.265 0.735 0.735 O
0.735 0.265 0.265 O
0.735 0.265 0.735 O
0.735 0.735 0.265 O
```

=====

# K2PuW3O12

Crystalline K2PuW3O12 at its relaxed geometry (PBE+U, the Alexandria database).

Properties
The calculation puts the density of states at the Fermi level at 8.8 states/eV/f.u. The calculation puts the size of the total moment at 4.00 μB/f.u.

The structure in POSCAR format:
```
K2PuW3O12
1.0
3.738 2.158 6.283
-3.738 2.158 6.283
0.000 -4.317 6.283
K Pu W O
2 1 3 12
direct
0.157 0.157 0.157 K
0.843 0.843 0.843 K
0.500 0.500 0.500 Pu
0.000 0.500 0.500 W
0.500 0.000 0.500 W
0.500 0.500 0.000 W
0.153 0.574 0.574 O
0.198 0.198 0.563 O
0.198 0.563 0.198 O
0.426 0.426 0.847 O
0.426 0.847 0.426 O
0.437 0.802 0.802 O
0.563 0.198 0.198 O
0.574 0.153 0.574 O
0.574 0.574 0.153 O
0.802 0.437 0.802 O
0.802 0.802 0.437 O
0.847 0.426 0.426 O
```

=====

no.,E_tot (eV/cell)
1,-118.7
2,-133.8
3,-75.8
4,-105.3
5,-76.9
6,-137.4